A plane-wave DFT calculation with GGA-PBE was carried out for Pa2CoOs after structural relaxation.

Cell lengths 3.054, 3.054, 9.654 Å; angles 80.90, 80.90, 60.00 degrees
Element x y z (fractional)
Co1 0.500 0.500 0.500
Os1 0.000 0.000 0.000
Pa1 0.091 0.091 0.728
Pa2 0.909 0.909 0.272

Output
Space group: R-3m, No. 166
Crystal system: trigonal
Energy (eV per cell): -35.798
Relative energy among the computed polymorphs (eV/atom): 0.804